Cs3ScCd PBE relaxed; crystal system = cubic; distance to the lowest polymorph of the same formula = 0 meV/atom; formation energy = 3.31 eV/f.u.
1.0
-5.557 2.163 -4.168
-4.355 -4.788 3.323
-1.755 5.033 4.952
Cs Sc Cd
3 1 1
Direct
0.000 0.500 0.000
0.000 0.000 0.500
0.500 0.000 0.000
0.500 0.500 0.500
0.000 0.000 0.000

***

Cs2ScCd2 PBE relaxed; crystal system = tetragonal; formation energy = 1.42 eV/f.u.
1.0
8.001 0.000 0.000
0.000 8.001 0.000
0.000 0.000 6.586
Cs Sc Cd
4 2 4
Direct
0.678 0.178 0.500
0.822 0.678 0.500
0.322 0.822 0.500
0.178 0.322 0.500
0.000 0.000 0.000
0.500 0.500 0.000
0.866 0.366 0.000
0.634 0.866 0.000
0.134 0.634 0.000
0.366 0.134 0.000

***

CsScCdSe3 PBE relaxed; uncorrected formation energy = -1.255 eV per atom; crystal system = monoclinic
1.0
-1.732 3.782 0.026
-5.565 -2.597 7.009
9.142 4.163 3.377
Cs Sc Cd Se
2 2 2 6
Direct
0.250 0.230 0.249
0.750 0.770 0.751
0.250 0.665 0.125
0.750 0.335 0.875
0.250 0.083 0.616
0.750 0.917 0.384
0.750 0.867 0.124
0.250 0.133 0.876
0.250 0.769 0.439
0.750 0.231 0.561
0.750 0.480 0.142
0.250 0.520 0.858